Record 1
Material: Hf2TaTc2
Method: DFT, PBE
State: optimized geometry

Results
Volume ... 19.8 A^3/atom
DFT total energy ... -10.138 eV/atom
Formation energy ... 360 meV/atom

Geometry as POSCAR:
```
Hf2TaTc2
1.0
3.4534 0.0000 0.0000
0.0000 3.4534 0.0000
1.7267 1.7267 8.2834
Hf Tc Ta
2 2 1
Direct
0.3950 0.3950 0.2100 Hf
0.6050 0.6050 0.7900 Hf
0.7500 0.2500 0.5000 Tc
0.2500 0.7500 0.5000 Tc
0.0000 0.0000 0.0000 Ta
```

=====

Record 2
Material: HfTaTc3
Method: DFT, PBE
State: optimized geometry

Results
Volume ... 20.6 A^3/atom
DFT total energy ... -9.349 eV/atom
Formation energy ... 1232 meV/atom

Geometry as POSCAR:
```
HfTaTc3
1.0
4.6886 0.0000 0.0000
0.0000 4.6886 0.0000
0.0000 0.0000 4.6886
Hf Tc Ta
1 3 1
Direct
0.5000 0.5000 0.5000 Hf
0.0000 0.5000 0.0000 Tc
0.0000 0.0000 0.5000 Tc
0.5000 0.0000 0.0000 Tc
0.0000 0.0000 0.0000 Ta
```

=====

Record 3
Material: HfTa2Tc
Method: DFT, PBE
State: optimized geometry

Results
Volume ... 17.9 A^3/atom
DFT total energy ... -11.276 eV/atom
Formation energy ... -269 meV/atom

Geometry as POSCAR:
```
HfTa2Tc
1.0
3.1088 0.0000 -0.9677
-0.5911 4.1697 -1.8989
0.0179 -0.0349 5.5349
Hf Ta Tc
1 2 1
Direct
0.0000 0.5000 0.0000 Hf
0.7659 0.7661 0.5319 Ta
0.2341 0.2339 0.4681 Ta
0.5000 0.0000 0.0000 Tc
```

=====

Record 4
Material: Hf2TaTc
Method: DFT, PBE
State: optimized geometry

Results
Volume ... 18.6 A^3/atom
DFT total energy ... -10.583 eV/atom
Formation energy ... -51 meV/atom

Geometry as POSCAR:
```
Hf2TaTc
1.0
0.0000 3.3379 3.3379
3.3379 0.0000 3.3379
3.3379 3.3379 0.0000
Hf Tc Ta
2 1 1
Direct
0.2500 0.2500 0.2500 Hf
0.7500 0.7500 0.7500 Hf
0.0000 0.0000 0.0000 Tc
0.5000 0.5000 0.5000 Ta
```

=====

Record 5
Material: HfTaTc
Method: DFT, PBE
State: optimized geometry

Results
Volume ... 17.8 A^3/atom
DFT total energy ... -11.076 eV/atom
Formation energy ... -352 meV/atom

Geometry as POSCAR:
```
HfTaTc
1.0
3.2359 0.0000 0.0000
0.0000 3.2359 0.0000
-1.6179 -1.6179 5.0938
Hf Tc Ta
1 1 1
Direct
0.2910 0.2910 0.5821 Hf
0.9571 0.9571 0.9142 Tc
0.6019 0.6019 0.2037 Ta
```

=====

Record 6
Material: HfTaTc
Method: DFT, PBE
State: optimized geometry

Results
Volume ... 20.8 A^3/atom
DFT total energy ... -10.596 eV/atom
Formation energy ... 128 meV/atom

Geometry as POSCAR:
```
HfTaTc
1.0
-3.4065 -5.2886 0.0490
4.6006 -2.9925 -3.0749
2.0196 2.5053 7.0208
Hf Ta Tc
4 4 4
Direct
0.1635 0.0885 0.2519 Hf
0.1615 0.5866 0.2481 Hf
0.4134 0.8384 0.7519 Hf
0.9115 0.8366 0.7481 Hf
0.6634 0.0885 0.2518 Ta
0.4134 0.3384 0.7518 Ta
0.6615 0.5866 0.2482 Ta
0.9115 0.3366 0.7482 Ta
0.5485 0.9735 0.5000 Tc
0.7765 0.7015 0.0000 Tc
0.0265 0.4515 0.5000 Tc
0.2984 0.2235 0.0000 Tc
```